Al2CdMo after structural relaxation, computed with PBE. Values from VASP.

DOS at the Fermi energy in states/eV/atom: 0.8037
Magnetization in Bohr magnetons per cell: 0.00
Formation enthalpy at 0 K in kJ/mol of formula units: 58

```
&SYSTEM
  ibrav = 0, nat = 4, ntyp = 3
/
ATOMIC_SPECIES
Al 26.98 Al.upf
Cd 112.41 Cd.upf
Mo 95.94 Mo.upf
CELL_PARAMETERS angstrom
3.505 0.000 0.000
0.000 3.505 0.000
0.000 0.000 5.606
ATOMIC_POSITIONS crystal
Al 0.000 0.000 0.000
Al 0.500 0.500 0.268
Cd 0.000 0.000 0.517
Mo 0.500 0.500 0.802
```